Material: Li2CdMo
Method: DFT, GGA-PBE
State: optimized geometry

a b c (Å): 5.7623 8.9999 2.5935
angles (deg): 90.00 90.00 90.00
Closest atoms and distances in Å follow each position.
Space group Cmmm (No. 65)
Symmetry-distinct sites (fractional):
1 Li 0.2500 0.2500 0.0000 (multiplicity 4)  4 Li 2.59-2.88
2 Cd 0.0000 0.0000 0.5000 (multiplicity 2)  2 Cd 2.59, 2 Mo 2.88
3 Mo 0.0000 0.5000 0.5000 (multiplicity 2)  2 Mo 2.59, 2 Cd 2.88

Output
As for the formation enthalpy at 0 K: 0.3643 eV/atom. The value obtained for the density of states at the Fermi level is 0.6467 states/eV/atom. For the mass density, the calculation gives 5.5 g/cm3.